Record 1
Density functional theory data (PBE-GGA) for an optimized crystal structure of TiSnOs2.

Cell: 3.1833 3.1833 6.2705 Å, 90.00 90.00 90.00°
Space group P4/mmm (No. 123)
Inequivalent atoms, fractional coordinates:
Ti1 0.0000 0.0000 0.0000 [1 per cell]
Sn1 0.0000 0.0000 0.5000 [1 per cell]
Os1 0.5000 0.5000 0.2380 [2 per cell]


Record 2
Density functional theory data (PBE-GGA) for an optimized crystal structure of Pr5Hg2Rh2.

Cell: 16.2809 7.6861 8.1180 Å, 90.00 90.00 90.00°
Space group Cmce (No. 64)
Inequivalent atoms, fractional coordinates:
Pr1 0.0000 0.0000 0.0000 [4 per cell]
Pr2 0.1221 0.1686 0.3266 [16 per cell]
Hg1 0.2141 0.0000 0.0000 [8 per cell]
Rh1 0.0000 0.1306 0.6296 [8 per cell]


Record 3
Density functional theory data (PBE-GGA) for an optimized crystal structure of Tl2ReHg.

Cell: 3.2677 5.0061 11.4030 Å, 90.00 90.00 90.00°
Space group Cmm2 (No. 35)
Inequivalent atoms, fractional coordinates:
Tl1 0.0000 0.0000 0.0000 [2 per cell]
Tl2 0.0000 0.5000 0.3100 [2 per cell]
Re1 0.0000 0.0000 0.5321 [2 per cell]
Hg1 0.0000 0.5000 0.7428 [2 per cell]

Values from the calculation:
Offset from the most stable computed form in meV per atom: 73


Record 4
Density functional theory data (PBE-GGA) for an optimized crystal structure of K3AgRu.

Cell: 6.1895 6.1895 6.1895 Å, 90.00 90.00 90.00°
Space group Pm-3m (No. 221)
Inequivalent atoms, fractional coordinates:
K1 0.0000 0.0000 0.5000 [3 per cell]
Ag1 0.5000 0.5000 0.5000 [1 per cell]
Ru1 0.0000 0.0000 0.0000 [1 per cell]

Values from the calculation:
Offset from the most stable computed form in meV per atom: 0


Record 5
Density functional theory data (PBE-GGA) for an optimized crystal structure of GaSnAs.

Cell: 5.0894 5.0894 3.0165 Å, 90.00 90.00 120.00°
Space group P3m1 (No. 156)
Inequivalent atoms, fractional coordinates:
Ga1 0.0000 0.0000 0.0000 [1 per cell]
Sn1 0.3333 0.6667 0.6055 [1 per cell]
As1 0.6667 0.3333 0.7210 [1 per cell]

Values from the calculation:
Offset from the most stable computed form in meV per atom: 141


Record 6
Density functional theory data (PBE-GGA) for an optimized crystal structure of Er4Ag3Ir.

Cell: 3.5347 3.5347 14.3621 Å, 90.00 90.00 90.00°
Space group P4/mmm (No. 123)
Inequivalent atoms, fractional coordinates:
Er1 0.0000 0.0000 0.1113 [2 per cell]
Er2 0.0000 0.0000 0.3708 [2 per cell]
Ag1 0.5000 0.5000 0.2451 [2 per cell]
Ag2 0.5000 0.5000 0.5000 [1 per cell]
Ir1 0.5000 0.5000 0.0000 [1 per cell]


| no. | formation energy from the elements (eV per atom) |
| --- | --- |
| 1 | -0.177 |
| 2 | -0.523 |
| 3 | 0.763 |
| 4 | 0.954 |
| 5 | 0.105 |
| 6 | -0.484 |